Record 1
A plane-wave DFT calculation with PBE was carried out for a relaxed structure of K3Cd2Sn2.

Output
The energy of formation from the pure elements is -0.15 eV per atom. As for the space group: Pbcm.

Structure (CIF):
```
data_K3Cd2Sn2
_chemical_formula_sum 'K12 Cd8 Sn8'
_symmetry_space_group_name_H-M 'P 1'
_symmetry_Int_Tables_number 1
_cell_length_a 6.964
_cell_length_b 9.196
_cell_length_c 15.897
_cell_angle_alpha 90.00
_cell_angle_beta 90.00
_cell_angle_gamma 90.00
loop_
_symmetry_equiv_pos_as_xyz
'x,y,z'
loop_
_atom_site_label
_atom_site_type_symbol
_atom_site_fract_x
_atom_site_fract_y
_atom_site_fract_z
_atom_site_occupancy
Sn1 Sn 0.380 0.250 0.500 1
Sn2 Sn 0.620 0.750 0.500 1
Sn3 Sn 0.173 0.596 0.750 1
Sn4 Sn 0.827 0.404 0.250 1
Sn5 Sn 0.827 0.096 0.750 1
Sn6 Sn 0.620 0.750 0.000 1
Sn7 Sn 0.380 0.250 0.000 1
Sn8 Sn 0.173 0.904 0.250 1
Cd1 Cd 0.385 0.539 0.903 1
Cd2 Cd 0.385 0.539 0.597 1
Cd3 Cd 0.385 0.961 0.097 1
Cd4 Cd 0.385 0.961 0.403 1
Cd5 Cd 0.615 0.461 0.403 1
Cd6 Cd 0.615 0.039 0.903 1
Cd7 Cd 0.615 0.461 0.097 1
Cd8 Cd 0.615 0.039 0.597 1
K1 K 0.119 0.890 0.898 1
K2 K 0.881 0.110 0.102 1
K3 K 0.881 0.390 0.898 1
K4 K 0.881 0.390 0.602 1
K5 K 0.881 0.110 0.398 1
K6 K 0.119 0.610 0.102 1
K7 K 0.119 0.610 0.398 1
K8 K 0.119 0.890 0.602 1
K9 K 0.670 0.732 0.750 1
K10 K 0.330 0.232 0.750 1
K11 K 0.330 0.268 0.250 1
K12 K 0.670 0.768 0.250 1
```


Record 2
A plane-wave DFT calculation with PBE was carried out for a relaxed structure of SiTe2.

Output
As for the space group: Pnma. The formation energy from raw total energies is 160 meV/atom.

Structure (CIF):
```
data_SiTe2
_chemical_formula_sum 'Si4 Te8'
_symmetry_space_group_name_H-M 'P 1'
_symmetry_Int_Tables_number 1
_cell_length_a 5.027
_cell_length_b 6.376
_cell_length_c 10.706
_cell_angle_alpha 90.00
_cell_angle_beta 90.00
_cell_angle_gamma 90.00
loop_
_symmetry_equiv_pos_as_xyz
'x,y,z'
loop_
_atom_site_label
_atom_site_type_symbol
_atom_site_fract_x
_atom_site_fract_y
_atom_site_fract_z
_atom_site_occupancy
Te1 Te 0.250 0.554 0.635 1
Te2 Te 0.250 0.511 0.126 1
Te3 Te 0.250 0.011 0.374 1
Te4 Te 0.750 0.489 0.874 1
Te5 Te 0.750 0.989 0.626 1
Te6 Te 0.250 0.054 0.865 1
Te7 Te 0.750 0.446 0.365 1
Te8 Te 0.750 0.946 0.135 1
Si1 Si 0.750 0.894 0.879 1
Si2 Si 0.250 0.606 0.379 1
Si3 Si 0.250 0.106 0.121 1
Si4 Si 0.750 0.394 0.621 1
```


Q: What is the formula in the second record?
A: SiTe2